Record 1
Material: Ca3PrSn12
Method: DFT, PBE-GGA
State: optimized geometry

The energy of formation from the pure elements comes out at -0.4147 eV per atom. The calculation puts the total energy at -65.454 eV per cell.

The structure belongs to space group P4/mmm (No. 123); the cell edges are 4.752, 4.752 and 19.196 Å and the angles 90.00°, 90.00° and 90.00°. The distinct sites, in fractional coordinates, are Ca at (0.000, 0.000, 0.000), Ca at (0.000, 0.000, 0.249), Pr at (0.000, 0.000, 0.500), Sn at (0.000, 0.500, 0.124), Sn at (0.000, 0.500, 0.372), Sn at (0.500, 0.500, 0.000), Sn at (0.500, 0.500, 0.248) and Sn at (0.500, 0.500, 0.500).

---

Record 2
Material: CaPr4Sn2
Method: DFT, PBE-GGA
State: optimized geometry

The energy of formation from the pure elements comes out at -0.3811 eV per atom. The calculation puts the total energy at -63.586 eV per cell.

The structure belongs to space group P2_1/m (No. 11); the cell edges are 8.378, 6.599 and 9.137 Å and the angles 90.00°, 115.02° and 90.00°. The distinct sites, in fractional coordinates, are Ca at (0.093, 0.250, 0.335), Pr at (0.176, 0.750, 0.113), Pr at (0.331, 0.008, 0.783), Pr at (0.478, 0.750, 0.522), Sn at (0.074, 0.750, 0.420) and Sn at (0.270, 0.250, 0.078).

---

Record 3
Material: CaPr6Sn4
Method: DFT, PBE-GGA
State: optimized geometry

The energy of formation from the pure elements comes out at -0.3892 eV per atom. The calculation puts the total energy at -101.942 eV per cell.

The structure belongs to space group I-42m (No. 121); the cell edges are 8.198, 8.198 and 12.112 Å and the angles 90.00°, 90.00° and 90.00°. The distinct sites, in fractional coordinates, are Ca at (0.000, 0.000, 0.000), Pr at (0.000, 0.500, 0.000), Pr at (0.157, 0.157, 0.335) and Sn at (0.225, 0.225, 0.600).

---

Record 4
Material: Ca2PrSn2
Method: DFT, PBE-GGA
State: optimized geometry

The energy of formation from the pure elements comes out at -0.5803 eV per atom. The calculation puts the total energy at -39.380 eV per cell.

The structure belongs to space group P2_1/m (No. 11); the cell edges are 5.369, 5.203 and 11.948 Å and the angles 90.00°, 90.04° and 90.00°. The distinct sites, in fractional coordinates, are Ca at (0.249, 0.250, 0.176), Ca at (0.250, 0.250, 0.494), Pr at (0.251, 0.250, 0.829), Sn at (0.250, 0.750, 0.005) and Sn at (0.251, 0.750, 0.656).

---

Record 5
Material: CaPr3Sn3
Method: DFT, PBE-GGA
State: optimized geometry

The energy of formation from the pure elements comes out at -0.4500 eV per atom. The calculation puts the total energy at -125.995 eV per cell.

The structure belongs to space group C2/m (No. 12); the cell edges are 9.198, 13.289 and 7.910 Å and the angles 90.00°, 93.18° and 90.00°. The distinct sites, in fractional coordinates, are Ca at (0.215, 0.000, 0.101), Pr at (0.000, 0.277, 0.000), Pr at (0.000, 0.352, 0.500), Pr at (0.130, 0.000, 0.639), Sn at (0.061, 0.500, 0.182) and Sn at (0.173, 0.178, 0.329).

---

Record 6
Material: CaPr7Sn4
Method: DFT, PBE-GGA
State: optimized geometry

The energy of formation from the pure elements comes out at -0.3275 eV per atom. The calculation puts the total energy at -110.798 eV per cell.

The structure belongs to space group C2/m (No. 12); the cell edges are 14.243, 5.952 and 11.408 Å and the angles 90.00°, 125.07° and 90.00°. The distinct sites, in fractional coordinates, are Ca at (0.000, 0.000, 0.000), Pr at (0.000, 0.500, 0.000), Pr at (0.057, 0.000, 0.373), Pr at (0.180, 0.500, 0.604), Pr at (0.210, 0.000, 0.885), Sn at (0.067, 0.500, 0.769) and Sn at (0.197, 0.500, 0.326).